## Ba2HIr (PBE-GGA)

Data for crystalline Ba2HIr at its relaxed geometry.

Summary:
Space-group type   No. 122
Total moment   0.00 μB per cell
Distance to the lowest polymorph of the same formula   78 meV/atom

Geometry as POSCAR:
```
Ba2HIr
1.0
6.2194 0.0000 0.0000
0.0000 6.2194 0.0000
0.0000 0.0000 14.2028
Ba H Ir
8 4 4
direct
0.2258 0.2500 0.1250
0.2500 0.7258 0.3750
0.2500 0.7742 0.8750
0.2742 0.2500 0.6250
0.7258 0.7500 0.6250
0.7500 0.2258 0.8750
0.7500 0.2742 0.3750
0.7742 0.7500 0.1250
0.0000 0.0000 0.0000
0.0000 0.5000 0.2500
0.5000 0.0000 0.7500
0.5000 0.5000 0.5000
0.0000 0.0000 0.5000
0.0000 0.5000 0.7500
0.5000 0.0000 0.2500
0.5000 0.5000 0.0000
```

## Pm5Te5P (PBE-GGA)

Data for crystalline Pm5Te5P at its relaxed geometry.

Summary:
Formation energy (no corrections)   -1.482 eV/atom
Space-group type   No. 12
Total moment   0.00 μB per cell

Geometry as POSCAR:
```
Pm5Te5P
1.0
6.9501 -3.1196 0.0000
6.9501 3.1196 0.0000
-2.8285 0.0000 8.2860
Pm Te P
5 5 1
direct
0.0000 0.0000 0.0000
0.3442 0.3442 0.1564
0.3455 0.3455 0.6860
0.6545 0.6545 0.3140
0.6558 0.6558 0.8436
0.1624 0.1624 0.8217
0.1708 0.1708 0.3369
0.5000 0.5000 0.5000
0.8292 0.8292 0.6631
0.8376 0.8376 0.1783
0.5000 0.5000 0.0000
```

Q: Which value of total moment does entry 1 give?
A: 0.00 μB per cell

Q: Look up the total moment of the second one.
A: 0.00 μB per cell